## P
# LiTl6Si2O7

LiTl6Si2O7 after structural relaxation (PBE, the Alexandria database).

a = 5.3427 Å, b = 8.9899 Å, c = 8.4120 Å
α = 63.02°, β = 85.72°, γ = 86.19°
Last column: nearest neighbours and their distance in Å.
Atoms (fractional coordinates):
Li  0.7968  0.4827  0.0788  3 O 1.89-1.91
Tl  0.2433  0.7627  0.9183  2 O 2.46-2.55
Tl  0.2939  0.8595  0.4404  2 O 2.43-2.54
Tl  0.2821  0.3808  0.7334  2 O 2.49-2.59
Tl  0.8207  0.1125  0.1702  3 O 2.53-2.73
Tl  0.8042  0.1619  0.5736  4 O 2.58-2.85
Tl  0.8923  0.6367  0.3208  2 O 2.47-2.53
Si  0.8060  0.7134  0.6879  3 O 1.60-1.62
Si  0.2812  0.3340  0.2839  4 O 1.65-1.68
O  0.7325  0.8883  0.5189  1 Si 1.62
O  0.8610  0.5521  0.6528  1 Si 1.61
O  0.7055  0.6857  0.8829  1 Si 1.60
O  0.1550  0.1477  0.3519  1 Si 1.68
O  0.1945  0.3962  0.4396  1 Si 1.67
O  0.1532  0.4652  0.0960  1 Si 1.65
O  0.5918  0.3182  0.2625  1 Si 1.66

Results
total moment = 0.0 μB/cell
D(E_F) = 0.1722 states/eV per atom

***

## Q
# LiTl6Si2O7

LiTl6Si2O7 after structural relaxation (PBE, the Alexandria database).

a = 5.3025 Å, b = 8.8457 Å, c = 9.0819 Å
α = 118.14°, β = 94.54°, γ = 91.43°
Last column: nearest neighbours and their distance in Å.
Atoms (fractional coordinates):
Li  0.4118  0.5375  0.0485  3 O 1.83-2.01
Tl  0.8198  0.2698  0.9005  2 O 2.49-2.58
Tl  0.7133  0.1407  0.4080  2 O 2.52-2.56
Tl  0.7675  0.6187  0.6971  2 O 2.42-2.67
Tl  0.0853  0.8273  0.1649  3 O 2.55-2.72
Tl  0.2306  0.8865  0.5944  3 O 2.51-2.69
Tl  0.1772  0.3909  0.2971  3 O 2.50-2.65
Si  0.2313  0.3277  0.6537  3 O 1.61-1.62
Si  0.7013  0.6659  0.3143  4 O 1.64-1.67
O  0.3015  0.1354  0.5265  1 Si 1.62
O  0.2942  0.4761  0.6042  1 Si 1.61
O  0.2416  0.3793  0.8495  1 Si 1.61
O  0.8389  0.8638  0.4087  1 Si 1.66
O  0.8027  0.5591  0.4115  1 Si 1.64
O  0.7711  0.5721  0.1152  1 Si 1.67
O  0.3855  0.6659  0.2963  1 Si 1.67

Results
total moment = 0.9 μB/cell
D(E_F) = 0.1006 states/eV per atom

***

Which one is most stable, and which one is least stable? P is the most stable of them, while Q is the least stable.